Entry 1:
A plane-wave DFT calculation with GGA-PBE was carried out for a relaxed structure of MgTiTe2I.

Cell and atoms, written as POSCAR:
```
MgTiTe2I
1.0
-1.8853 4.5322 2.3873
-4.8536 -2.3939 0.7117
1.6379 -1.8768 4.8567
Te Mg I Ti
2 1 1 1
Direct
0.5000 0.0000 0.0000
0.0000 0.5000 0.0000
0.0000 0.0000 0.0000
0.0000 0.0000 0.5000
0.5000 0.5000 0.5000
```

Summary:
Energy relative to the lowest polymorph listed for this composition   0.575 eV per atom
Total moment   0.1 μB per formula unit
ΔE_f (raw)   0.40 eV/atom

=====

Entry 2:
A plane-wave DFT calculation with GGA-PBE was carried out for a relaxed structure of CaTb3Y6.

Cell and atoms, written as POSCAR:
```
CaTb3Y6
1.0
-3.5500 0.2949 0.3436
-1.3734 -3.1597 -11.4761
-0.3805 -13.8983 7.9980
Tb Y Ca
6 12 2
Direct
0.2500 0.3868 0.3303
0.7500 0.8838 0.4318
0.7500 0.6132 0.6697
0.7500 0.8994 0.2195
0.2500 0.1162 0.5682
0.2500 0.1006 0.7805
0.7500 0.8611 0.8219
0.2500 0.3896 0.5410
0.2500 0.1389 0.1781
0.2500 0.6150 0.8507
0.2500 0.6535 0.2728
0.7500 0.1180 0.9797
0.7500 0.3850 0.1493
0.7500 0.1651 0.3854
0.7500 0.6104 0.4590
0.2500 0.8349 0.6146
0.2500 0.8820 0.0203
0.7500 0.3465 0.7272
0.7500 0.6332 0.0615
0.2500 0.3668 0.9385
```

Summary:
Total moment   0.1 μB per formula unit
VASP energy   -107.845 eV for the cell shown

=====

Entry 3:
A plane-wave DFT calculation with GGA-PBE was carried out for a relaxed structure of Cs3Tl2Br3Cl2.

Cell and atoms, written as POSCAR:
```
Cs3Tl2Br3Cl2
1.0
5.2988 0.0000 0.0000
0.0000 5.2988 0.0000
-2.6494 -2.6494 17.6350
Tl Cs Br Cl
2 3 3 2
Direct
0.7917 0.7917 0.5833
0.2083 0.2083 0.4167
0.3957 0.3957 0.7915
0.0000 0.0000 0.0000
0.6043 0.6043 0.2085
0.5000 0.5000 0.0000
0.8974 0.8974 0.7948
0.1026 0.1026 0.2052
0.7500 0.2500 0.5000
0.2500 0.7500 0.5000
```

Summary:
Total moment   0.0 μB per formula unit
ΔE_f (raw)   -1.43 eV/atom

=====

Entry 4:
A plane-wave DFT calculation with GGA-PBE was carried out for a relaxed structure of CuNi4Rh.

Cell and atoms, written as POSCAR:
```
CuNi4Rh
1.0
4.0257 0.0000 0.0000
0.0000 6.8114 0.0000
-2.0129 0.0000 5.8976
Ni Cu Rh
8 2 2
Direct
0.0000 0.0000 0.0000
0.2329 0.0837 0.4658
0.7671 0.9163 0.5342
0.0000 0.5000 0.0000
0.5608 0.7500 0.1216
0.7671 0.5837 0.5342
0.4392 0.2500 0.8784
0.2329 0.4163 0.4658
0.3686 0.7500 0.7372
0.6314 0.2500 0.2628
0.8400 0.2500 0.6800
0.1600 0.7500 0.3200
```

Summary:
Energy relative to the lowest polymorph listed for this composition   0.309 eV per atom
Total moment   3.8 μB per formula unit

=====

Entry 5:
A plane-wave DFT calculation with GGA-PBE was carried out for a relaxed structure of VNiGe.

Cell and atoms, written as POSCAR:
```
VNiGe
1.0
-2.8198 -2.3632 1.5023
-0.6955 -1.1325 -3.0869
7.8204 -8.4749 1.3473
V Ni Ge
4 4 4
Direct
0.0000 0.0000 0.2212
0.0000 0.0000 0.5539
0.0000 0.5000 0.7212
0.0000 0.5000 0.0539
0.5000 0.0000 0.4044
0.5000 0.5000 0.2317
0.5000 0.0000 0.7317
0.5000 0.5000 0.9044
0.5000 0.0000 0.0760
0.5000 0.5000 0.5760
0.0000 0.0000 0.8808
0.0000 0.5000 0.3808
```

Summary:
Total moment   0.0 μB per formula unit
VASP energy   -81.055 eV for the cell shown

=====

Entry 6:
A plane-wave DFT calculation with GGA-PBE was carried out for a relaxed structure of SrCrAg2.

Cell and atoms, written as POSCAR:
```
SrCrAg2
1.0
-2.2620 3.1788 -4.0403
-5.2013 -1.6583 -1.3197
2.5619 1.1756 4.8580
Cr Sr Ag
1 1 2
Direct
0.5000 0.5000 0.0000
0.7500 0.2500 0.5000
0.2500 0.7500 0.5000
0.0000 0.0000 0.0000
```

Summary:
Energy relative to the lowest polymorph listed for this composition   0.136 eV per atom
Total moment   4.6 μB per formula unit

=====

- What is the formula in the third record?
  Cs3Tl2Br3Cl2

=====

What did the fourth record say?
A plane-wave DFT calculation with GGA-PBE was carried out for a relaxed structure of CuNi4Rh.

Cell and atoms, written as POSCAR:
```
CuNi4Rh
1.0
4.0257 0.0000 0.0000
0.0000 6.8114 0.0000
-2.0129 0.0000 5.8976
Ni Cu Rh
8 2 2
Direct
0.0000 0.0000 0.0000
0.2329 0.0837 0.4658
0.7671 0.9163 0.5342
0.0000 0.5000 0.0000
0.5608 0.7500 0.1216
0.7671 0.5837 0.5342
0.4392 0.2500 0.8784
0.2329 0.4163 0.4658
0.3686 0.7500 0.7372
0.6314 0.2500 0.2628
0.8400 0.2500 0.6800
0.1600 0.7500 0.3200
```

Summary:
Energy relative to the lowest polymorph listed for this composition   0.309 eV per atom
Total moment   3.8 μB per formula unit

=====

- Among the records above, which one has the highest total moment?
  SrCrAg2